Computed, not measured: a relaxed Be2Co2O5 crystal at the GGA+U level of DFT.

## Properties
Raw total energy, eV for the cell shown: -53.33
Size of the total moment, μB/atom: 0.22
Calculated density, g cm⁻³: 4.91

Cell: 3.295 3.295 6.722 Å, 90.00 90.00 90.00°
Fractional positions:
1 Be 0.000 0.000 0.246
2 Be 0.000 0.000 0.754
3 Co 0.500 0.500 0.000
4 Co 0.500 0.500 0.500
5 O 0.000 0.000 0.000
6 O 0.000 0.500 0.313
7 O 0.000 0.500 0.687
8 O 0.500 0.000 0.313
9 O 0.500 0.000 0.687